Record 1
Below is crystalline MnBeAg2 at its relaxed geometry, with properties calculated at the PBE-GGA level.

Structure (extended XYZ):
```
12
Lattice="2.8337 0.0000 0.0000 -1.4168 2.4540 0.0000 0.0000 0.0000 25.4184" Properties=species:S:1:pos:R:3 pbc="T T T"
Mn 0.0000 0.0000 0.0000
Mn 0.0000 1.6360 16.9456
Mn 1.4168 0.8180 8.4728
Be 0.0000 0.0000 6.7242
Be 0.0000 1.6360 23.6697
Be 1.4168 0.8180 15.1970
Ag 0.0000 0.0000 13.3046
Ag 0.0000 0.0000 19.2610
Ag 0.0000 1.6360 4.8319
Ag 0.0000 1.6360 10.7882
Ag 1.4168 0.8180 2.3154
Ag 1.4168 0.8180 21.7774
```

Results
* formation energy: 107 kJ/mol of formula units
* uncorrected energy: -4.372 eV/atom
* total magnetic moment: 3.20 μB per formula unit



Record 2
Below is crystalline NaCePaS4 at its relaxed geometry, with properties calculated at the PBE-GGA level.

Structure (extended XYZ):
```
14
Lattice="-4.0783 4.1838 5.9153 4.0783 -4.1838 5.9153 4.0783 4.1838 -5.9153" Properties=species:S:1:pos:R:3 pbc="T T T"
Na 0.0000 2.0919 1.4641
Na 4.0783 2.0919 4.4513
Ce 4.0783 0.0000 0.0000
Ce 0.0000 0.0000 5.9153
Pa 2.0391 2.0919 -2.9577
Pa 2.0391 -2.0919 2.9577
S 4.0783 -0.2545 2.8422
S 2.1807 2.0919 -0.2574
S 5.9759 2.0919 -0.2574
S 4.0783 3.9293 -2.8422
S 0.0000 0.2545 8.7575
S -1.8976 2.0919 6.1727
S 1.8976 2.0919 6.1727
S 0.0000 4.4383 3.0732
```

Results
* uncorrected energy: -6.409 eV/atom
* energy relative to the elements, uncorrected: -1657.7 meV/atom
* total magnetic moment: 2.01 μB per formula unit



Record 3
Below is crystalline NbICl3 at its relaxed geometry, with properties calculated at the PBE-GGA level.

Structure (extended XYZ):
```
10
Lattice="9.0390 0.0000 0.0000 0.0000 3.1231 0.0000 -0.3314 0.0000 11.6354" Properties=species:S:1:pos:R:3 pbc="T T T"
Nb 1.5654 0.7808 3.1097
Nb 7.1423 2.3423 8.5257
I 4.1279 2.3423 9.2024
I 4.5797 0.7808 2.4329
Cl 0.0143 0.7808 8.0971
Cl 1.5800 2.3423 1.1563
Cl 2.4103 2.3423 4.8696
Cl 6.2974 0.7808 6.7657
Cl 7.1276 0.7808 10.4791
Cl 8.6934 2.3423 3.5382
```

Results
* uncorrected energy: -4.376 eV/atom
* energy relative to the lowest polymorph listed for this composition: 0.0 meV/atom
* energy relative to the elements, uncorrected: -944.1 meV/atom
* total magnetic moment: 0.00 μB per formula unit



Record 4
Below is crystalline Ce3V at its relaxed geometry, with properties calculated at the PBE-GGA level.

Structure (extended XYZ):
```
8
Lattice="2.9863 0.0000 0.0000 0.0000 10.1438 0.0000 0.0000 0.0000 5.9416" Properties=species:S:1:pos:R:3 pbc="T T T"
Ce 0.0000 0.0000 0.0000
Ce 0.0000 2.4909 4.6956
Ce 0.0000 7.6530 4.6956
Ce 1.4931 2.5811 1.7249
Ce 1.4931 5.0719 2.9708
Ce 1.4931 7.5628 1.7249
V 0.0000 5.0719 5.8939
V 1.4931 0.0000 2.9231
```

Results
* formation energy: 115 kJ/mol of formula units
* uncorrected energy: -6.432 eV/atom
* total magnetic moment: 1.03 μB per formula unit



Record 5
Below is crystalline Pu2Ga3Pd at its relaxed geometry, with properties calculated at the PBE-GGA level.

Structure (extended XYZ):
```
12
Lattice="4.7626 0.0000 0.0000 0.0000 5.9277 0.0000 0.0000 0.0000 8.2118" Properties=species:S:1:pos:R:3 pbc="T T T"
Pu 0.0000 1.4759 0.0000
Pu 0.0000 4.4518 0.0000
Pu 2.3813 1.4880 4.1059
Pu 2.3813 4.4398 4.1059
Ga 0.0000 0.0000 2.7465
Ga 0.0000 0.0000 5.5120
Ga 0.0000 2.9639 5.4379
Ga 2.3813 0.0000 1.3320
Ga 2.3813 2.9639 1.4061
Ga 2.3813 2.9639 6.8524
Pd 0.0000 2.9639 2.7279
Pd 2.3813 0.0000 6.8338
```

Results
* formation energy: -278 kJ/mol of formula units
* uncorrected energy: -7.637 eV/atom
* total magnetic moment: 10.92 μB per formula unit



Record 6
Below is crystalline Ti3PdC at its relaxed geometry, with properties calculated at the PBE-GGA level.

Structure (extended XYZ):
```
10
Lattice="4.9053 -2.1362 0.0000 4.9053 2.1362 0.0000 -3.0927 0.0000 6.8138" Properties=species:S:1:pos:R:3 pbc="T T T"
Ti 0.4659 0.0000 1.3404
Ti -0.6664 0.0000 4.4890
Ti 3.3266 0.0000 0.4861
Ti 3.3914 0.0000 6.3277
Ti 7.3844 0.0000 2.3248
Ti 6.2520 0.0000 5.4733
Pd 1.9442 0.0000 3.7854
Pd 4.7738 0.0000 3.0283
C -1.6650 0.0000 6.3048
C 8.3830 0.0000 0.5089
```

Results
* formation energy: -281 kJ/mol of formula units
* uncorrected energy: -8.202 eV/atom
* energy relative to the lowest polymorph listed for this composition: 34.2 meV/atom
* total magnetic moment: 0.00 μB per formula unit